A relaxed CdTcAu crystal, computed with PBE-GGA.

abc: 6.3158 6.3158 6.3158
angles: 90.00 90.00 90.00
With the nearest neighbours (Å) after each atom.
Space group F-43m (No. 216)
Symmetry-distinct sites (fractional):
Cd1 0.0000 0.0000 0.0000  4 Au 2.73
Tc1 0.0000 0.0000 0.5000  4 Au 2.73
Au1 0.2500 0.2500 0.2500  4 Cd 2.73, 4 Tc 2.73

Output
* relative energy among the computed polymorphs: 0.427 eV per atom

---

A relaxed Sr2NpScS6 crystal, computed with PBE-GGA.

abc: 6.8441 7.2567 12.0120
angles: 90.00 124.31 90.00
With the nearest neighbours (Å) after each atom.
Space group P2_1/c (No. 14)
Symmetry-distinct sites (fractional):
Sr1 0.2241 0.0768 0.2482  6 S 3.00-3.21
Np1 0.5000 0.0000 0.0000  6 S 2.59-2.62
Sc1 0.0000 0.0000 0.5000  6 S 2.57-2.61
S1 0.1426 0.1986 0.9488  1 Np 2.60, 1 Sc 2.61
S2 0.2538 0.6973 0.9486  1 Sc 2.58, 1 Np 2.62
S3 0.3471 0.0241 0.7483  1 Sc 2.57, 1 Np 2.59

Output
* E_form (uncorrected): -1719 meV per atom

---

A relaxed HRh2Se crystal, computed with PBE-GGA.

abc: 5.8584 5.8584 5.8584
angles: 90.00 90.00 90.00
With the nearest neighbours (Å) after each atom.
Space group Fm-3m (No. 225)
Symmetry-distinct sites (fractional):
H1 0.0000 0.0000 0.0000  8 Rh 2.54
Rh1 0.2500 0.2500 0.2500  4 H 2.54, 4 Se 2.54
Se1 0.0000 0.0000 0.5000  8 Rh 2.54

Output
* relative energy among the computed polymorphs: 0.352 eV per atom

---

A relaxed TbSc5Bi6 crystal, computed with PBE-GGA.

abc: 7.4560 12.9219 7.4635
angles: 90.00 109.52 90.00
With the nearest neighbours (Å) after each atom.
Space group C2/m (No. 12)
Symmetry-distinct sites (fractional):
Tb1 0.0000 0.0000 0.0000  6 Bi 3.12-3.13
Sc1 0.0000 0.1618 0.5000  6 Bi 3.00-3.05
Sc2 0.0000 0.3316 0.0000  6 Bi 3.03-3.05
Sc3 0.0000 0.5000 0.5000  6 Bi 2.98-3.04
Bi1 0.2405 0.5000 0.2520  5 Sc 2.98-3.04, 1 Tb 3.12
Bi2 0.2427 0.3287 0.7429  5 Sc 3.00-3.05, 1 Tb 3.13

Output
* calculated total energy: -5.66 eV per atom

---

A relaxed VNi2H crystal, computed with PBE-GGA.

abc: 5.4869 5.4869 5.4869
angles: 90.00 90.00 90.00
With the nearest neighbours (Å) after each atom.
Space group Fm-3m (No. 225)
Symmetry-distinct sites (fractional):
V1 0.0000 0.0000 0.0000  8 Ni 2.38
Ni1 0.2500 0.2500 0.2500  4 H 2.38, 4 V 2.38
H1 0.0000 0.0000 0.5000  8 Ni 2.38

Output
* relative energy among the computed polymorphs: 0.428 eV per atom